# Dy3Ho6Mg | Alexandria | GGA-PBE | optimized geometry
data_Dy3Ho6Mg
_symmetry_space_group_name_H-M 'C m c 21'
_symmetry_Int_Tables_number 36
_symmetry_space_group_name_Hall 'C 2c -2'
_cell_length_a 9.295
_cell_length_b 14.768
_cell_length_c 8.969
_cell_angle_alpha 90.00
_cell_angle_beta 90.00
_cell_angle_gamma 90.00
loop_
_atom_site_label
_atom_site_fract_x
_atom_site_fract_y
_atom_site_fract_z
Dy1 0.000 0.036 0.000
Dy2 0.176 0.357 0.486
Ho1 0.000 0.205 0.270
Ho2 0.000 0.437 0.138
Ho3 0.176 0.153 0.654
Ho4 0.218 0.431 0.822
Mg1 0.000 0.263 0.915
# Energy of formation from the pure elements in eV per atom: 0.131